# 1
Entry from Alexandria: an optimized crystal structure of BaGe2Au5 (PBEsol).

```
BaGe2Au5
1.0
8.932 0.000 0.000
0.000 7.108 0.000
0.000 0.000 10.489
Ba Ge Au
4 8 20
Cartesian
2.049 1.777 1.152 Ba
2.418 5.331 6.396 Ba
6.515 1.777 4.093 Ba
6.884 5.331 9.337 Ba
0.474 1.777 6.429 Ge
1.405 5.331 9.968 Ge
3.061 1.777 4.723 Ge
3.992 5.331 1.185 Ge
4.940 1.777 9.304 Ge
5.871 5.331 5.766 Ge
7.528 1.777 0.521 Ge
8.458 5.331 4.060 Ge
0.842 0.309 8.728 Au
0.842 3.245 8.728 Au
0.855 0.370 4.069 Au
0.855 3.184 4.069 Au
1.550 5.331 1.993 Au
2.916 1.777 7.237 Au
3.612 3.924 9.314 Au
3.612 6.738 9.314 Au
3.624 3.863 3.484 Au
3.624 6.799 3.484 Au
5.308 0.309 7.005 Au
5.308 3.245 7.005 Au
5.321 0.370 1.175 Au
5.321 3.184 1.175 Au
6.016 5.331 3.252 Au
7.382 1.777 8.496 Au
8.078 3.924 6.420 Au
8.078 6.738 6.420 Au
8.090 3.863 1.761 Au
8.090 6.799 1.761 Au
```

total energy	-4.32	eV per atom
calculated volume	665.9	Å³/cell
SG	Pnma
ΔH_f (0 K)	-0.366	eV per atom
magnetic moment	0.00	μB/cell

=====

# 2
Entry from Alexandria: an optimized crystal structure of BaGe2Au (PBEsol).

```
BaGe2Au
1.0
4.734 0.000 0.000
0.000 18.161 0.000
0.000 0.000 4.467
Ba Ge Au
4 8 4
Cartesian
0.000 1.949 1.117 Ba
0.000 16.211 3.350 Ba
2.367 7.131 3.350 Ba
2.367 11.030 1.117 Ba
0.000 4.518 3.350 Ge
0.000 8.425 1.117 Ge
0.000 9.736 3.350 Ge
0.000 13.642 1.117 Ge
2.367 0.655 3.350 Ge
2.367 4.562 1.117 Ge
2.367 13.599 3.350 Ge
2.367 17.506 1.117 Ge
0.000 5.847 1.117 Au
0.000 12.314 3.350 Au
2.367 3.233 3.350 Au
2.367 14.927 1.117 Au
```

total energy	-4.54	eV per atom
calculated volume	384.0	Å³/cell
SG	Cmcm
ΔH_f (0 K)	-0.557	eV per atom
magnetic moment	0.00	μB/cell

=====

Q: What is the formula in the second record?
A: BaGe2Au

=====

Q: Among the records above, which one has the highest ΔH_f (0 K)?
A: BaGe2Au5